Entry i
First-principles (GGA-PBE) data for a geometry-optimized Zn3BiO structure, as listed in Alexandria via LeMat-Bulk.

Values from the calculation:
The calculation puts the density of states at the Fermi level at 0.461 states/eV/atom.

CIF file:
```
data_Zn3BiO
_chemical_formula_sum 'Zn3 Bi1 O1'
_cell_length_a 4.431
_cell_length_b 4.431
_cell_length_c 4.431
_cell_angle_alpha 90.00
_cell_angle_beta 90.00
_cell_angle_gamma 90.00
_space_group_name_H-M_alt 'P m -3 m'
_space_group_IT_number 221
_space_group_name_Hall '-P 4 2 3'
loop_
_atom_site_label
_atom_site_type_symbol
_atom_site_fract_x
_atom_site_fract_y
_atom_site_fract_z
Zn1 Zn 0.000 0.000 0.500
Bi1 Bi 0.500 0.500 0.500
O1 O 0.000 0.000 0.000
```

---

Entry ii
First-principles (GGA-PBE) data for a geometry-optimized Zn3BiO structure, as listed in Alexandria via LeMat-Bulk.

Values from the calculation:
The calculation puts the density of states at the Fermi level at 1.120 states/eV/atom.

CIF file:
```
data_Zn3BiO
_chemical_formula_sum 'Zn3 Bi1 O1'
_cell_length_a 5.406
_cell_length_b 5.406
_cell_length_c 5.406
_cell_angle_alpha 90.00
_cell_angle_beta 90.00
_cell_angle_gamma 90.00
_space_group_name_H-M_alt 'P m -3 m'
_space_group_IT_number 221
_space_group_name_Hall '-P 4 2 3'
loop_
_atom_site_label
_atom_site_type_symbol
_atom_site_fract_x
_atom_site_fract_y
_atom_site_fract_z
Zn1 Zn 0.000 0.000 0.500
Bi1 Bi 0.000 0.000 0.000
O1 O 0.500 0.500 0.500
```

---

entry i wins, 1019 meV/atom ahead of the next structure.